# 1
DFT (PBE-GGA) results for a geometry-optimized SrDyAs2 structure.

Cell and atoms, written as CIF:
```
data_SrDyAs2
_chemical_formula_sum 'Sr3 Dy3 As6'
_cell_length_a 4.2317
_cell_length_b 4.2317
_cell_length_c 21.7050
_cell_angle_alpha 90.00
_cell_angle_beta 90.00
_cell_angle_gamma 120.00
_space_group_name_H-M_alt 'R -3 m'
_space_group_IT_number 166
_space_group_name_Hall '-R 3 2"'
loop_
_atom_site_label
_atom_site_type_symbol
_atom_site_fract_x
_atom_site_fract_y
_atom_site_fract_z
Sr1 Sr 0.0000 0.0000 0.0000
Dy1 Dy 0.0000 0.0000 0.5000
As1 As 0.0000 0.0000 0.2409
```

Results
The calculation puts the total moment at 0.00 μB per cell. The energy relative to the lowest polymorph listed for this composition is 0.00 kJ/mol of atoms. Its formation energy is -1.182 eV per atom.



# 2
DFT (PBE-GGA) results for a geometry-optimized Sr3DyU3As8 structure.

Cell and atoms, written as CIF:
```
data_Sr3DyU3As8
_chemical_formula_sum 'Sr9 Dy3 U9 As24'
_cell_length_a 8.3625
_cell_length_b 8.3625
_cell_length_c 21.4549
_cell_angle_alpha 90.00
_cell_angle_beta 90.00
_cell_angle_gamma 120.00
_space_group_name_H-M_alt 'R -3 m'
_space_group_IT_number 166
_space_group_name_Hall '-R 3 2"'
loop_
_atom_site_label
_atom_site_type_symbol
_atom_site_fract_x
_atom_site_fract_y
_atom_site_fract_z
Sr1 Sr 0.0000 0.5000 0.0000
Dy1 Dy 0.0000 0.0000 0.5000
U1 U 0.0000 0.5000 0.5000
As1 As 0.0000 0.0000 0.2390
As2 As 0.0141 0.5071 0.7625
```

Results
The calculation puts the total moment at 8.98 μB per cell. Its formation energy is -0.874 eV per atom.



# 3
DFT (PBE-GGA) results for a geometry-optimized Sr3Dy2UAs6 structure.

Cell and atoms, written as CIF:
```
data_Sr3Dy2UAs6
_chemical_formula_sum 'Sr6 Dy4 U2 As12'
_cell_length_a 7.330
_cell_length_b 12.694
_cell_length_c 7.545
_cell_angle_alpha 90.00
_cell_angle_beta 108.92
_cell_angle_gamma 90.00
_space_group_name_H-M_alt 'C 1 2/m 1'
_space_group_IT_number 12
loop_
_space_group_symop_operation_xyz
'x,y,z'
'-x,-y,-z'
'-x,y,-z'
'x,-y,z'
'x+1/2,y+1/2,z'
'-x+1/2,-y+1/2,-z'
'-x+1/2,y+1/2,-z'
'x+1/2,-y+1/2,z'
loop_
_atom_site_label
_atom_site_type_symbol
_atom_site_fract_x
_atom_site_fract_y
_atom_site_fract_z
Sr1 Sr 0.000 0.000 0.000
Sr2 Sr 0.000 0.330 0.000
Dy1 Dy 0.000 0.166 0.500
U1 U 0.000 0.500 0.500
As1 As 0.232 0.341 0.717
As2 As 0.245 0.500 0.283
```

Results
The calculation puts the total moment at 0.00 μB per cell. Its formation energy is -1.210 eV per atom.



# 4
DFT (PBE-GGA) results for a geometry-optimized Tb5Dy3As8 structure.

Cell and atoms, written as CIF:
```
data_Tb5Dy3As8
_chemical_formula_sum 'Tb15 Dy9 As24'
_cell_length_a 8.2615
_cell_length_b 8.2615
_cell_length_c 20.2360
_cell_angle_alpha 90.00
_cell_angle_beta 90.00
_cell_angle_gamma 120.00
_space_group_name_H-M_alt 'R -3 m'
_space_group_IT_number 166
_space_group_name_Hall '-R 3 2"'
loop_
_atom_site_label
_atom_site_type_symbol
_atom_site_fract_x
_atom_site_fract_y
_atom_site_fract_z
Tb1 Tb 0.0000 0.0000 0.0000
Tb2 Tb 0.0000 0.0000 0.5000
Tb3 Tb 0.0000 0.5000 0.0000
Dy1 Dy 0.0000 0.5000 0.5000
As1 As 0.0000 0.0000 0.2496
As2 As 0.0006 0.5003 0.7503
```

Results
The calculation puts the total moment at 0.00 μB per cell. Its formation energy is -1.540 eV per atom.



# 5
DFT (PBE-GGA) results for a geometry-optimized TbDyAs2 structure.

Cell and atoms, written as CIF:
```
data_TbDyAs2
_chemical_formula_sum 'Tb3 Dy3 As6'
_cell_length_a 4.0892
_cell_length_b 4.0892
_cell_length_c 21.0831
_cell_angle_alpha 90.00
_cell_angle_beta 90.00
_cell_angle_gamma 120.00
_space_group_name_H-M_alt 'R 3 m'
_space_group_IT_number 160
_space_group_name_Hall 'R 3 -2"'
loop_
_atom_site_label
_atom_site_type_symbol
_atom_site_fract_x
_atom_site_fract_y
_atom_site_fract_z
Tb1 Tb 0.0000 0.0000 0.0000
Dy1 Dy 0.0000 0.0000 0.1713
As1 As 0.0000 0.0000 0.5840
As2 As 0.0000 0.0000 0.7538
```

Results
The calculation puts the total moment at 0.00 μB per cell. The energy relative to the lowest polymorph listed for this composition is 14.94 kJ/mol of atoms. Its formation energy is -1.387 eV per atom.



# 6
DFT (PBE-GGA) results for a geometry-optimized TbDy3As4 structure.

Cell and atoms, written as CIF:
```
data_TbDy3As4
_chemical_formula_sum 'Tb2 Dy6 As8'
_cell_length_a 8.246
_cell_length_b 11.661
_cell_length_c 4.125
_cell_angle_alpha 90.00
_cell_angle_beta 90.00
_cell_angle_gamma 90.00
_space_group_name_H-M_alt 'C m m m'
_space_group_IT_number 65
_space_group_name_Hall '-C 2 2'
loop_
_atom_site_label
_atom_site_type_symbol
_atom_site_fract_x
_atom_site_fract_y
_atom_site_fract_z
Tb1 Tb 0.000 0.000 0.000
Dy1 Dy 0.000 0.500 0.000
Dy2 Dy 0.250 0.250 0.500
As1 As 0.000 0.250 0.000
As2 As 0.249 0.500 0.500
```

Results
The calculation puts the total moment at 0.00 μB per cell. The energy relative to the lowest polymorph listed for this composition is 0.34 kJ/mol of atoms. Its formation energy is -1.538 eV per atom.



# 7
DFT (PBE-GGA) results for a geometry-optimized TbDyAs2 structure.

Cell and atoms, written as CIF:
```
data_TbDyAs2
_chemical_formula_sum 'Tb3 Dy3 As6'
_cell_length_a 4.1304
_cell_length_b 4.1304
_cell_length_c 20.2108
_cell_angle_alpha 90.00
_cell_angle_beta 90.00
_cell_angle_gamma 120.00
_space_group_name_H-M_alt 'R -3 m'
_space_group_IT_number 166
_space_group_name_Hall '-R 3 2"'
loop_
_atom_site_label
_atom_site_type_symbol
_atom_site_fract_x
_atom_site_fract_y
_atom_site_fract_z
Tb1 Tb 0.0000 0.0000 0.0000
Dy1 Dy 0.0000 0.0000 0.5000
As1 As 0.0000 0.0000 0.2496
```

Results
The calculation puts the total moment at 0.00 μB per cell. The energy relative to the lowest polymorph listed for this composition is 0.22 kJ/mol of atoms. Its formation energy is -1.539 eV per atom.



# 8
DFT (PBE-GGA) results for a geometry-optimized Tb4DyAs5 structure.

Cell and atoms, written as CIF:
```
data_Tb4DyAs5
_chemical_formula_sum 'Tb8 Dy2 As10'
_cell_length_a 9.247
_cell_length_b 9.247
_cell_length_c 5.848
_cell_angle_alpha 90.00
_cell_angle_beta 90.00
_cell_angle_gamma 90.00
_space_group_name_H-M_alt 'I 4/m'
_space_group_IT_number 87
_space_group_name_Hall '-I 4'
loop_
_atom_site_label
_atom_site_type_symbol
_atom_site_fract_x
_atom_site_fract_y
_atom_site_fract_z
Tb1 Tb 0.100 0.300 0.000
Dy1 Dy 0.000 0.000 0.500
As1 As 0.000 0.000 0.000
As2 As 0.100 0.299 0.500
```

Results
The calculation puts the total moment at 0.00 μB per cell. Its formation energy is -1.542 eV per atom.



# 9
DFT (PBE-GGA) results for a geometry-optimized TbDyAs2 structure.

Cell and atoms, written as CIF:
```
data_TbDyAs2
_chemical_formula_sum 'Tb4 Dy4 As8'
_cell_length_a 5.835
_cell_length_b 5.835
_cell_length_c 11.683
_cell_angle_alpha 90.00
_cell_angle_beta 90.00
_cell_angle_gamma 90.00
_space_group_name_H-M_alt 'I 41/a m d'
_space_group_IT_number 141
loop_
_space_group_symop_operation_xyz
'x,y,z'
'-x,-y,-z'
'-y+1/4,x+3/4,z+1/4'
'y+1/4,-x+3/4,-z+1/4'
'-x+1/2,-y,z+1/2'
'x+1/2,y,-z+1/2'
'y+1/4,-x+1/4,z+3/4'
'-y+1/4,x+1/4,-z+3/4'
'x,-y,-z'
'-x,y,z'
'-y+1/4,-x+1/4,-z+3/4'
'y+1/4,x+1/4,z+3/4'
'-x+1/2,y,-z+1/2'
'x+1/2,-y,z+1/2'
'y+1/4,x+3/4,-z+1/4'
'-y+1/4,-x+3/4,z+1/4'
'x+1/2,y+1/2,z+1/2'
'-x+1/2,-y+1/2,-z+1/2'
'-y+3/4,x+1/4,z+3/4'
'y+3/4,-x+1/4,-z+3/4'
'-x,-y+1/2,z'
'x,y+1/2,-z'
'y+3/4,-x+3/4,z+1/4'
'-y+3/4,x+3/4,-z+1/4'
'x+1/2,-y+1/2,-z+1/2'
'-x+1/2,y+1/2,z+1/2'
'-y+3/4,-x+3/4,-z+1/4'
'y+3/4,x+3/4,z+1/4'
'-x,y+1/2,-z'
'x,-y+1/2,z'
'y+3/4,x+1/4,-z+3/4'
'-y+3/4,-x+1/4,z+3/4'
loop_
_atom_site_label
_atom_site_type_symbol
_atom_site_fract_x
_atom_site_fract_y
_atom_site_fract_z
Tb1 Tb 0.000 0.250 0.375
Dy1 Dy 0.000 0.250 0.875
As1 As 0.000 0.250 0.125
```

Results
The calculation puts the total moment at 0.00 μB per cell. The energy relative to the lowest polymorph listed for this composition is 0.00 kJ/mol of atoms. Its formation energy is -1.542 eV per atom.



# 10
DFT (PBE-GGA) results for a geometry-optimized TbDy5As6 structure.

Cell and atoms, written as CIF:
```
data_TbDy5As6
_chemical_formula_sum 'Tb2 Dy10 As12'
_cell_length_a 7.144
_cell_length_b 12.364
_cell_length_c 7.140
_cell_angle_alpha 90.00
_cell_angle_beta 109.50
_cell_angle_gamma 90.00
_space_group_name_H-M_alt 'C 1 2/m 1'
_space_group_IT_number 12
loop_
_space_group_symop_operation_xyz
'x,y,z'
'-x,-y,-z'
'-x,y,-z'
'x,-y,z'
'x+1/2,y+1/2,z'
'-x+1/2,-y+1/2,-z'
'-x+1/2,y+1/2,-z'
'x+1/2,-y+1/2,z'
loop_
_atom_site_label
_atom_site_type_symbol
_atom_site_fract_x
_atom_site_fract_y
_atom_site_fract_z
Tb1 Tb 0.000 0.000 0.000
Dy1 Dy 0.000 0.167 0.500
Dy2 Dy 0.000 0.333 0.000
Dy3 Dy 0.000 0.500 0.500
As1 As 0.249 0.500 0.250
As2 As 0.250 0.167 0.251
```

Results
The calculation puts the total moment at 0.00 μB per cell. Its formation energy is -1.538 eV per atom.



# 11
DFT (PBE-GGA) results for a geometry-optimized TbDy3As4 structure.

Cell and atoms, written as CIF:
```
data_TbDy3As4
_chemical_formula_sum 'Tb1 Dy3 As4'
_cell_length_a 5.828
_cell_length_b 5.828
_cell_length_c 5.828
_cell_angle_alpha 90.00
_cell_angle_beta 90.00
_cell_angle_gamma 90.00
_space_group_name_H-M_alt 'P m -3 m'
_space_group_IT_number 221
_space_group_name_Hall '-P 4 2 3'
loop_
_atom_site_label
_atom_site_type_symbol
_atom_site_fract_x
_atom_site_fract_y
_atom_site_fract_z
Tb1 Tb 0.000 0.000 0.000
Dy1 Dy 0.000 0.500 0.500
As1 As 0.000 0.000 0.500
As2 As 0.500 0.500 0.500
```

Results
The calculation puts the total moment at 0.00 μB per cell. The energy relative to the lowest polymorph listed for this composition is 0.00 kJ/mol of atoms. Its formation energy is -1.542 eV per atom.



# 12
DFT (PBE-GGA) results for a geometry-optimized Tb3Dy5As8 structure.

Cell and atoms, written as CIF:
```
data_Tb3Dy5As8
_chemical_formula_sum 'Tb9 Dy15 As24'
_cell_length_a 8.2513
_cell_length_b 8.2513
_cell_length_c 20.2109
_cell_angle_alpha 90.00
_cell_angle_beta 90.00
_cell_angle_gamma 120.00
_space_group_name_H-M_alt 'R -3 m'
_space_group_IT_number 166
_space_group_name_Hall '-R 3 2"'
loop_
_atom_site_label
_atom_site_type_symbol
_atom_site_fract_x
_atom_site_fract_y
_atom_site_fract_z
Tb1 Tb 0.0000 0.5000 0.0000
Dy1 Dy 0.0000 0.0000 0.0000
Dy2 Dy 0.0000 0.0000 0.5000
Dy3 Dy 0.0000 0.5000 0.5000
As1 As 0.0000 0.0000 0.2496
As2 As 0.0005 0.5003 0.7503
```

Results
The calculation puts the total moment at 0.00 μB per cell. Its formation energy is -1.539 eV per atom.



What is the total moment in the second record?
8.98 μB per cell



Number 2 is which compound?
Sr3DyU3As8